GGA+U Ga3WO, relaxed; symmetry = Pm-3m; mass density = 5104 kg/m3; crystal system = cubic; excess energy over the best structure of this formula in the dataset = 0.734 eV per atom; D(E_F) = 2.8 states/eV per cell; total DFT energy (no corrections) = -16.3 eV/cell
1.0
5.105 0.000 0.000
0.000 5.105 0.000
0.000 0.000 5.105
O Ga W
1 3 1
Cartesian
2.553 2.553 2.553 O
0.000 2.553 0.000 Ga
0.000 0.000 2.553 Ga
2.553 0.000 0.000 Ga
0.000 0.000 0.000 W